Compound: Nd2DyHo5In
Source: Alexandria
Functional: GGA-PBE
Structure: optimized geometry

```
Nd2DyHo5In
1.0
2.687 -10.072 0.000
2.687 10.072 0.000
0.000 0.000 10.532
Nd Dy Ho In
4 2 10 2
Direct
0.116 0.884 0.500
0.117 0.883 0.917
0.883 0.117 0.417
0.884 0.116 0.000
0.208 0.792 0.209
0.792 0.208 0.709
0.012 0.988 0.209
0.289 0.711 0.511
0.290 0.710 0.907
0.384 0.616 0.209
0.500 0.500 0.458
0.500 0.500 0.958
0.616 0.384 0.709
0.710 0.290 0.407
0.711 0.289 0.011
0.988 0.012 0.709
0.405 0.595 0.708
0.595 0.405 0.208
```

Properties
For the total energy, the calculation gives -79.75 eV for the cell shown. As for the formation energy from the elements: -0.012 eV per atom.